Computed, not measured: crystalline Cs3NdSm2Te6 at its relaxed geometry at the PBE level of DFT.

The structure in POSCAR format:
```
Cs3NdSm2Te6
1.0
8.048 -0.001 0.000
-4.023 6.970 0.000
-1.343 -2.325 8.944
Cs Nd Sm Te
3 1 2 6
direct
0.166 0.834 0.500
0.834 0.166 0.500
0.500 0.500 0.500
0.000 0.000 0.000
0.333 0.667 0.000
0.667 0.333 0.000
0.935 0.599 0.806
0.728 0.728 0.194
0.065 0.401 0.194
0.599 0.935 0.806
0.272 0.272 0.806
0.401 0.065 0.194
```

## Properties
The value obtained for the total energy is -52.53 eV per cell. The calculation puts the size of the total moment at 0.00 Bohr magnetons per cell. Its space group is C2/m (12).